# TlNiP2 | the Alexandria database | PBE | optimized geometry
data_TlNiP2
_chemical_formula_sum 'Tl1 Ni1 P2'
_cell_length_a 4.597
_cell_length_b 4.597
_cell_length_c 4.597
_cell_angle_alpha 60.00
_cell_angle_beta 60.00
_cell_angle_gamma 60.00
_symmetry_space_group_name_H-M 'P 1'
_symmetry_Int_Tables_number 1
_symmetry_space_group_name_Hall 'P 1'
loop_
_atom_site_label
_atom_site_type_symbol
_atom_site_fract_x
_atom_site_fract_y
_atom_site_fract_z
_atom_site_occupancy
Tl1 Tl 0.000 0.000 0.000 1
Ni1 Ni 0.500 0.500 0.500 1
P1 P 0.250 0.250 0.250 1
P2 P 0.750 0.750 0.750 1
# DOS at the Fermi energy   2.887 states/eV per cell
# ΔH_f (0 K)   0.724 eV per atom